--- a ---
This record from Alexandria via LeMat-Bulk describes a relaxed structure of HgTePdN2. The functional is PBE-GGA.

abc: 4.006 5.613 4.006
angles: 90.00 90.00 90.00
Positions (direct):
Te  0.000  0.000  0.000
Hg  0.500  0.500  0.500
Pd  0.000  0.500  0.000
N  0.000  0.000  0.500
N  0.500  0.000  0.000

Computed properties:
Symmetry: P4/mmm (123)
Crystal system: tetragonal
Total magnetic moment in μB per formula unit: 0.0

***

--- b ---
This record from Alexandria via LeMat-Bulk describes a relaxed structure of HgTePdN2. The functional is PBE-GGA.

abc: 4.165 4.165 6.363
angles: 90.00 90.00 90.00
Site moments in Bohr magnetons follow the coordinates.
Positions (direct):
Te  0.000  0.000  0.500  0.13
Hg  0.000  0.000  0.000  0.10
Pd  0.500  0.500  0.500  0.13
N  0.000  0.500  0.000  1.11
N  0.500  0.000  0.000  1.11

Computed properties:
Symmetry: P4/mmm (123)
Crystal system: tetragonal
Total magnetic moment in μB per formula unit: 3.6

***

It is a that is most stable; the runner-up trails by 0.550 eV/atom.

***

--- a ---
This record from Alexandria via LeMat-Bulk describes a relaxed structure of Pm2HgN. The functional is PBE-GGA.

abc: 3.659 3.659 8.198
angles: 77.10 77.10 60.00
Positions (direct):
Pm  0.275  0.275  0.175
Pm  0.725  0.725  0.825
Hg  0.500  0.500  0.500
N  0.000  0.000  0.000

Computed properties:
Symmetry: R-3m (166)
Crystal system: trigonal
Total magnetic moment in μB per formula unit: 0.0

***

--- b ---
This record from Alexandria via LeMat-Bulk describes a relaxed structure of Pm2HgN. The functional is PBE-GGA.

abc: 3.176 3.176 8.162
angles: 90.00 90.00 90.00
Positions (direct):
N  0.500  0.500  0.000
Hg  0.500  0.500  0.500
Pm  0.000  0.000  0.819
Pm  0.000  0.000  0.181

Computed properties:
Symmetry: P4/mmm (123)
Crystal system: tetragonal
Total magnetic moment in μB per formula unit: 0.0

***

It is a that is most stable; the runner-up trails by 0.446 eV/atom.

***

--- a ---
This record from Alexandria via LeMat-Bulk describes a relaxed structure of Hg3PtN. The functional is PBE-GGA.

abc: 4.615 4.615 4.615
angles: 90.00 90.00 90.00
Positions (direct):
Hg  0.000  0.500  0.000
Hg  0.000  0.000  0.500
Hg  0.500  0.000  0.000
Pt  0.500  0.500  0.500
N  0.000  0.000  0.000

Computed properties:
Symmetry: Pm-3m (221)
Crystal system: cubic
Total magnetic moment in μB per formula unit: 0.0

***

--- b ---
This record from Alexandria via LeMat-Bulk describes a relaxed structure of Hg3PtN. The functional is PBE-GGA.

abc: 5.337 5.337 5.337
angles: 90.00 90.00 90.00
Site moments in Bohr magnetons follow the coordinates.
Positions (direct):
Hg  0.000  0.500  0.000  0.02
Hg  0.000  0.000  0.500  0.00
Hg  0.500  0.000  0.000  0.02
Pt  0.000  0.000  0.000  0.01
N  0.500  0.500  0.500  1.82

Computed properties:
Symmetry: Pm-3m (221)
Crystal system: cubic
Total magnetic moment in μB per formula unit: 2.8

***

It is a that is most stable; the runner-up trails by 0.036 eV/atom.

***

--- a ---
This record from Alexandria via LeMat-Bulk describes a relaxed structure of HgPt2N. The functional is PBE-GGA.

abc: 5.071 5.071 7.043
angles: 68.90 68.90 90.00
Positions (direct):
Hg  0.000  0.000  0.000
Hg  0.750  0.250  0.500
Pt  0.440  0.125  0.250
Pt  0.310  0.625  0.250
Pt  0.375  0.560  0.750
Pt  0.875  0.690  0.750
N  0.500  0.500  0.000
N  0.250  0.750  0.500

Computed properties:
Symmetry: I-42d (122)
Crystal system: tetragonal
Total magnetic moment in μB per formula unit: 0.0

***

--- b ---
This record from Alexandria via LeMat-Bulk describes a relaxed structure of HgPt2N. The functional is PBE-GGA.

abc: 4.455 4.455 4.455
angles: 60.00 60.00 60.00
Site moments in Bohr magnetons follow the coordinates.
Positions (direct):
Hg  0.500  0.500  0.500  0.01
Pt  0.250  0.250  0.250  0.08
Pt  0.750  0.750  0.750  0.08
N  0.000  0.000  0.000  0.41

Computed properties:
Symmetry: Fm-3m (225)
Crystal system: cubic
Total magnetic moment in μB per formula unit: 0.7

***

It is a that is most stable; the runner-up trails by 0.910 eV/atom.

***

--- a ---
This record from Alexandria via LeMat-Bulk describes a relaxed structure of HgPtSe2N. The functional is PBE-GGA.

abc: 5.318 5.318 3.684
angles: 90.00 90.00 90.00
Positions (direct):
Se  0.000  0.500  0.000
Se  0.500  0.000  0.000
Hg  0.500  0.500  0.500
Pt  0.000  0.000  0.000
N  0.000  0.000  0.500

Computed properties:
Symmetry: P4/mmm (123)
Crystal system: tetragonal
Total magnetic moment in μB per formula unit: 0.0

***

--- b ---
This record from Alexandria via LeMat-Bulk describes a relaxed structure of HgPtSe2N. The functional is PBE-GGA.

abc: 5.301 5.301 4.000
angles: 90.00 90.00 90.00
Site moments in Bohr magnetons follow the coordinates.
Positions (direct):
Se  0.000  0.500  0.000  0.16
Se  0.500  0.000  0.000  0.16
Hg  0.000  0.000  0.000  0.07
Pt  0.500  0.500  0.500  0.14
N  0.000  0.000  0.500  1.05

Computed properties:
Symmetry: P4/mmm (123)
Crystal system: tetragonal
Total magnetic moment in μB per formula unit: 2.1

***

It is a that is most stable; the runner-up trails by 1.096 eV/atom.

***

--- a ---
This record from Alexandria via LeMat-Bulk describes a relaxed structure of HgTe2PtN. The functional is PBE-GGA.

abc: 5.742 5.742 3.674
angles: 90.00 90.00 90.00
Positions (direct):
Te  0.000  0.500  0.000
Te  0.500  0.000  0.000
Hg  0.500  0.500  0.500
Pt  0.000  0.000  0.000
N  0.000  0.000  0.500

Computed properties:
Symmetry: P4/mmm (123)
Crystal system: tetragonal
Total magnetic moment in μB per formula unit: 0.0

***

--- b ---
This record from Alexandria via LeMat-Bulk describes a relaxed structure of HgTe2PtN. The functional is PBE-GGA.

abc: 5.662 5.662 3.936
angles: 90.00 90.00 90.00
Site moments in Bohr magnetons follow the coordinates.
Positions (direct):
Te  0.000  0.500  0.000  0.10
Te  0.500  0.000  0.000  0.10
Hg  0.000  0.000  0.000  0.07
Pt  0.500  0.500  0.500  0.04
N  0.000  0.000  0.500  0.90

Computed properties:
Symmetry: P4/mmm (123)
Crystal system: tetragonal
Total magnetic moment in μB per formula unit: 1.7

***

It is a that is most stable; the runner-up trails by 1.057 eV/atom.